This record from the Alexandria database describes a relaxed ErInPd3 crystal. The functional is PBE.

theoretical density = 10.13 Mg/m³
energy relative to the elements = -0.607 eV per atom
M_tot = 0.0 μB/f.u.

Geometry as CIF:
```
data_ErInPd3
_cell_length_a 5.599
_cell_length_b 7.765
_cell_length_c 9.065
_cell_angle_alpha 90.00
_cell_angle_beta 90.00
_cell_angle_gamma 90.00
_space_group_name_H-M_alt 'P n m a'
_space_group_IT_number 62
loop_
_space_group_symop_operation_xyz
'x,y,z'
'-x,-y,-z'
'-x+1/2,-y,z+1/2'
'x+1/2,y,-z+1/2'
'x+1/2,-y+1/2,-z+1/2'
'-x+1/2,y+1/2,z+1/2'
'-x,y+1/2,-z'
'x,-y+1/2,z'
loop_
_atom_site_label
_atom_site_type_symbol
_atom_site_fract_x
_atom_site_fract_y
_atom_site_fract_z
Er1 Er 0.004 0.250 0.010
In1 In 0.000 0.000 0.500
Pd1 Pd 0.012 0.750 0.296
Pd2 Pd 0.242 0.565 0.753
```

---

This record from the Alexandria database describes a relaxed Er3InPd crystal. The functional is PBE.

theoretical density = 8.75 Mg/m³
energy relative to the elements = -0.445 eV per atom
M_tot = 0.0 μB/f.u.

Geometry as CIF:
```
data_Er3InPd
_cell_length_a 13.396
_cell_length_b 11.146
_cell_length_c 7.348
_cell_angle_alpha 90.00
_cell_angle_beta 90.00
_cell_angle_gamma 90.00
_space_group_name_H-M_alt 'C m c e'
_space_group_IT_number 64
_space_group_name_Hall '-C 2ac 2'
loop_
_atom_site_label
_atom_site_type_symbol
_atom_site_fract_x
_atom_site_fract_y
_atom_site_fract_z
Er1 Er 0.000 0.065 0.220
Er2 Er 0.140 0.170 0.597
In1 In 0.250 0.067 0.250
Pd1 Pd 0.000 0.190 0.886
```

---

This record from the Alexandria database describes a relaxed ErInPd crystal. The functional is PBE.

theoretical density = 9.95 Mg/m³
energy relative to the elements = -0.638 eV per atom
M_tot = 0.0 μB/f.u.

Geometry as CIF:
```
data_ErInPd
_cell_length_a 3.415
_cell_length_b 3.415
_cell_length_c 11.113
_cell_angle_alpha 90.00
_cell_angle_beta 90.00
_cell_angle_gamma 90.00
_space_group_name_H-M_alt 'I 4 m m'
_space_group_IT_number 107
_space_group_name_Hall 'I 4 -2'
loop_
_atom_site_label
_atom_site_type_symbol
_atom_site_fract_x
_atom_site_fract_y
_atom_site_fract_z
Er1 Er 0.000 0.000 0.000
In1 In 0.000 0.000 0.700
Pd1 Pd 0.000 0.000 0.342
```

---

This record from the Alexandria database describes a relaxed Er2InPd5 crystal. The functional is PBE.

theoretical density = 11.04 Mg/m³
energy relative to the elements = -0.795 eV per atom
M_tot = 0.0 μB/f.u.

Geometry as CIF:
```
data_Er2InPd5
_cell_length_a 6.370
_cell_length_b 6.370
_cell_length_c 7.274
_cell_angle_alpha 90.00
_cell_angle_beta 90.00
_cell_angle_gamma 90.00
_space_group_name_H-M_alt 'I 4 m m'
_space_group_IT_number 107
_space_group_name_Hall 'I 4 -2'
loop_
_atom_site_label
_atom_site_type_symbol
_atom_site_fract_x
_atom_site_fract_y
_atom_site_fract_z
Er1 Er 0.000 0.500 0.000
In1 In 0.000 0.000 0.427
Pd1 Pd 0.000 0.000 0.021
Pd2 Pd 0.225 0.225 0.742
```

---

This record from the Alexandria database describes a relaxed Er2In5Pd12 crystal. The functional is PBE.

theoretical density = 10.52 Mg/m³
energy relative to the elements = -0.581 eV per atom
M_tot = 0.0 μB/f.u.

Geometry as CIF:
```
data_Er2In5Pd12
_cell_length_a 14.668
_cell_length_b 9.282
_cell_length_c 5.297
_cell_angle_alpha 90.00
_cell_angle_beta 106.99
_cell_angle_gamma 90.00
_space_group_name_H-M_alt 'C 1 2/m 1'
_space_group_IT_number 12
loop_
_space_group_symop_operation_xyz
'x,y,z'
'-x,-y,-z'
'-x,y,-z'
'x,-y,z'
'x+1/2,y+1/2,z'
'-x+1/2,-y+1/2,-z'
'-x+1/2,y+1/2,-z'
'x+1/2,-y+1/2,z'
loop_
_atom_site_label
_atom_site_type_symbol
_atom_site_fract_x
_atom_site_fract_y
_atom_site_fract_z
Er1 Er 0.000 0.225 0.000
In1 In 0.000 0.000 0.500
In2 In 0.137 0.500 0.867
In3 In 0.220 0.000 0.485
Pd1 Pd 0.064 0.500 0.299
Pd2 Pd 0.102 0.243 0.598
Pd3 Pd 0.154 0.000 0.943
Pd4 Pd 0.201 0.267 0.201
```

---

This record from the Alexandria database describes a relaxed ErInPd5 crystal. The functional is PBE.

theoretical density = 9.70 Mg/m³
energy relative to the elements = -0.299 eV per atom
M_tot = 0.0 μB/f.u.

Geometry as CIF:
```
data_ErInPd5
_cell_length_a 5.379
_cell_length_b 7.032
_cell_length_c 7.369
_cell_angle_alpha 90.00
_cell_angle_beta 90.00
_cell_angle_gamma 90.00
_space_group_name_H-M_alt 'I m m 2'
_space_group_IT_number 44
loop_
_space_group_symop_operation_xyz
'x,y,z'
'-x,-y,z'
'-x,y,z'
'x,-y,z'
'x+1/2,y+1/2,z+1/2'
'-x+1/2,-y+1/2,z+1/2'
'-x+1/2,y+1/2,z+1/2'
'x+1/2,-y+1/2,z+1/2'
loop_
_atom_site_label
_atom_site_type_symbol
_atom_site_fract_x
_atom_site_fract_y
_atom_site_fract_z
Er1 Er 0.000 0.000 0.000
In1 In 0.000 0.500 0.156
Pd1 Pd 0.000 0.000 0.653
Pd2 Pd 0.000 0.314 0.483
Pd3 Pd 0.243 0.500 0.814
```

---

This record from the Alexandria database describes a relaxed ErIn3Pd12 crystal. The functional is PBE.

theoretical density = 11.13 Mg/m³
energy relative to the elements = -0.548 eV per atom
M_tot = 0.0 μB/f.u.

Geometry as CIF:
```
data_ErIn3Pd12
_cell_length_a 4.055
_cell_length_b 4.055
_cell_length_c 16.233
_cell_angle_alpha 90.00
_cell_angle_beta 90.00
_cell_angle_gamma 90.00
_space_group_name_H-M_alt 'P 4/m m m'
_space_group_IT_number 123
_space_group_name_Hall '-P 4 2'
loop_
_atom_site_label
_atom_site_type_symbol
_atom_site_fract_x
_atom_site_fract_y
_atom_site_fract_z
Er1 Er 0.000 0.000 0.000
In1 In 0.000 0.000 0.254
In2 In 0.000 0.000 0.500
Pd1 Pd 0.000 0.500 0.128
Pd2 Pd 0.000 0.500 0.376
Pd3 Pd 0.500 0.500 0.000
Pd4 Pd 0.500 0.500 0.251
Pd5 Pd 0.500 0.500 0.500
```

---

This record from the Alexandria database describes a relaxed ErInPd6 crystal. The functional is PBE.

theoretical density = 11.32 Mg/m³
energy relative to the elements = -0.670 eV per atom
M_tot = 0.0 μB/f.u.

Geometry as CIF:
```
data_ErInPd6
_cell_length_a 4.069
_cell_length_b 4.069
_cell_length_c 8.160
_cell_angle_alpha 90.00
_cell_angle_beta 90.00
_cell_angle_gamma 90.00
_space_group_name_H-M_alt 'P 4/m m m'
_space_group_IT_number 123
_space_group_name_Hall '-P 4 2'
loop_
_atom_site_label
_atom_site_type_symbol
_atom_site_fract_x
_atom_site_fract_y
_atom_site_fract_z
Er1 Er 0.000 0.000 0.000
In1 In 0.000 0.000 0.500
Pd1 Pd 0.000 0.500 0.254
Pd2 Pd 0.500 0.500 0.000
Pd3 Pd 0.500 0.500 0.500
```

---

This record from the Alexandria database describes a relaxed ErIn4Pd7 crystal. The functional is PBE.

theoretical density = 9.75 Mg/m³
energy relative to the elements = -0.459 eV per atom
M_tot = 0.0 μB/f.u.

Geometry as CIF:
```
data_ErIn4Pd7
_cell_length_a 11.175
_cell_length_b 4.983
_cell_length_c 9.911
_cell_angle_alpha 90.00
_cell_angle_beta 122.20
_cell_angle_gamma 90.00
_space_group_name_H-M_alt 'C 1 2/m 1'
_space_group_IT_number 12
loop_
_space_group_symop_operation_xyz
'x,y,z'
'-x,-y,-z'
'-x,y,-z'
'x,-y,z'
'x+1/2,y+1/2,z'
'-x+1/2,-y+1/2,-z'
'-x+1/2,y+1/2,-z'
'x+1/2,-y+1/2,z'
loop_
_atom_site_label
_atom_site_type_symbol
_atom_site_fract_x
_atom_site_fract_y
_atom_site_fract_z
Er1 Er 0.000 0.000 0.000
In1 In 0.089 0.500 0.775
In2 In 0.240 0.500 0.334
Pd1 Pd 0.000 0.500 0.000
Pd2 Pd 0.067 0.000 0.331
Pd3 Pd 0.140 0.500 0.534
Pd4 Pd 0.217 0.000 0.907
```

---

This record from the Alexandria database describes a relaxed Er3InPd2 crystal. The functional is PBE.

theoretical density = 10.09 Mg/m³
energy relative to the elements = -0.776 eV per atom
M_tot = 0.0 μB/f.u.

Geometry as CIF:
```
data_Er3InPd2
_cell_length_a 3.517
_cell_length_b 3.517
_cell_length_c 11.042
_cell_angle_alpha 90.00
_cell_angle_beta 90.00
_cell_angle_gamma 90.00
_space_group_name_H-M_alt 'P 4/m m m'
_space_group_IT_number 123
_space_group_name_Hall '-P 4 2'
loop_
_atom_site_label
_atom_site_type_symbol
_atom_site_fract_x
_atom_site_fract_y
_atom_site_fract_z
Er1 Er 0.000 0.000 0.000
Er2 Er 0.000 0.000 0.309
In1 In 0.500 0.500 0.500
Pd1 Pd 0.500 0.500 0.160
```

---

This record from the Alexandria database describes a relaxed Er3In2Pd6 crystal. The functional is PBE.

theoretical density = 10.11 Mg/m³
energy relative to the elements = -0.756 eV per atom
M_tot = 0.0 μB/f.u.

Geometry as CIF:
```
data_Er3In2Pd6
_cell_length_a 9.656
_cell_length_b 9.656
_cell_length_c 9.656
_cell_angle_alpha 90.00
_cell_angle_beta 90.00
_cell_angle_gamma 90.00
_space_group_name_H-M_alt 'I m -3 m'
_space_group_IT_number 229
_space_group_name_Hall '-I 4 2 3'
loop_
_atom_site_label
_atom_site_type_symbol
_atom_site_fract_x
_atom_site_fract_y
_atom_site_fract_z
Er1 Er 0.000 0.000 0.296
In1 In 0.250 0.250 0.250
Pd1 Pd 0.000 0.345 0.345
```

---

This record from the Alexandria database describes a relaxed ErIn6Pd12 crystal. The functional is PBE.

theoretical density = 9.99 Mg/m³
energy relative to the elements = -0.344 eV per atom
M_tot = 0.0 μB/f.u.

Geometry as CIF:
```
data_ErIn6Pd12
_cell_length_a 11.3540
_cell_length_b 11.3540
_cell_length_c 9.5310
_cell_angle_alpha 90.00
_cell_angle_beta 90.00
_cell_angle_gamma 120.00
_space_group_name_H-M_alt 'R -3'
_space_group_IT_number 148
_space_group_name_Hall '-R 3'
loop_
_atom_site_label
_atom_site_type_symbol
_atom_site_fract_x
_atom_site_fract_y
_atom_site_fract_z
Er1 Er 0.0000 0.0000 0.0000
In1 In 0.0685 0.1843 0.7297
Pd1 Pd 0.0165 0.2607 0.9964
Pd2 Pd 0.0649 0.5157 0.1205
```

---

The evaluated energy for the records listed, in turn: -5.183, -4.769, -4.803, -5.524, -5.062, -5.051, -5.241, -5.477, -4.781, -5.245, -5.331, -4.728 eV/atom.